[1]
5
Lattice="4.630 0.000 0.000 0.000 4.630 0.000 0.000 0.000 4.408" Properties=species:S:1:pos:R:3 comment="CuAsS2Cl (PBE-GGA, relaxed)" relative_energy_mev_per_atom=0.0 space_group="P4/mmm, No. 123" pbc="T T T"
Cu 0.000 0.000 0.000
As 2.315 2.315 2.204
S 0.000 2.315 0.000
S 2.315 0.000 0.000
Cl 0.000 0.000 2.204



[2]
5
Lattice="4.817 0.000 0.000 0.000 4.817 0.000 0.000 0.000 5.189" Properties=species:S:1:pos:R:3 comment="CuAs2SeCl (PBE-GGA, relaxed)" relative_energy_mev_per_atom=666.1 space_group="P4/mmm, No. 123" pbc="T T T"
Cu 0.000 0.000 0.000
As 0.000 2.408 2.595
As 2.408 0.000 2.595
Se 2.408 2.408 0.000
Cl 2.408 2.408 2.595



[3]
5
Lattice="4.858 0.000 0.000 0.000 4.858 0.000 0.000 0.000 4.645" Properties=species:S:1:pos:R:3 comment="CuAs2SeCl (PBE-GGA, relaxed)" relative_energy_mev_per_atom=0.0 space_group="P4/mmm, No. 123" pbc="T T T"
Cu 0.000 0.000 0.000
As 0.000 2.429 0.000
As 2.429 0.000 0.000
Se 0.000 0.000 2.322
Cl 2.429 2.429 2.322



[4]
5
Lattice="4.831 0.000 0.000 0.000 4.831 0.000 0.000 0.000 4.647" Properties=species:S:1:pos:R:3 comment="CuSiAs2Cl (PBE-GGA, relaxed)" space_group="P4/mmm, No. 123" pbc="T T T"
Cu 0.000 0.000 0.000
Si 2.415 2.415 0.000
As 0.000 2.415 2.323
As 2.415 0.000 2.323
Cl 2.415 2.415 2.323



[5]
5
Lattice="4.556 0.000 0.000 0.000 4.556 0.000 0.000 0.000 6.112" Properties=species:S:1:pos:R:3 comment="SrCuAs2Cl (PBE-GGA, relaxed)" space_group="P4/mmm, No. 123" pbc="T T T"
Sr 0.000 0.000 0.000
Cu 2.278 2.278 3.056
As 0.000 2.278 3.056
As 2.278 0.000 3.056
Cl 2.278 2.278 0.000



[6]
5
Lattice="5.398 0.000 0.000 0.000 5.398 0.000 0.000 0.000 5.209" Properties=species:S:1:pos:R:3 comment="CuTeAs2Cl (PBE-GGA, relaxed)" space_group="P4/mmm, No. 123" pbc="T T T"
Cu 0.000 0.000 0.000
Te 2.699 2.699 2.605
As 0.000 2.699 2.605
As 2.699 0.000 2.605
Cl 2.699 2.699 0.000



[7]
12
Lattice="5.134 -3.667 0.000 5.134 3.667 0.000 -0.249 0.000 8.185" Properties=species:S:1:pos:R:3 comment="TlCu2AsCl8 (PBE-GGA, relaxed)" space_group="C2/m, No. 12" pbc="T T T"
Tl 0.000 0.000 0.000
Cu 3.459 0.000 2.244
Cu 6.558 0.000 5.940
As -0.125 0.000 4.092
Cl 2.355 0.000 4.196
Cl 4.986 1.834 2.275
Cl 2.609 0.000 0.207
Cl 5.032 1.834 5.910
Cl 4.986 -1.834 2.275
Cl 7.409 0.000 7.977
Cl 5.032 -1.834 5.910
Cl 7.663 0.000 3.988



[8]
9
Lattice="6.555 0.000 0.000 -2.717 5.982 0.000 -0.548 -0.827 6.801" Properties=species:S:1:pos:R:3 comment="TlCuAsCl6 (PBE-GGA, relaxed)" space_group="P1, No. 1" pbc="T T T"
Tl 0.000 0.000 0.000
Cu -0.156 3.738 3.400
As 3.076 1.648 3.396
Cl 0.858 2.397 1.866
Cl 1.849 -0.322 4.497
Cl 1.484 3.364 4.935
Cl 3.853 0.148 1.812
Cl 4.776 1.554 4.967
Cl 4.348 3.584 2.303



[9]
10
Lattice="-2.059 2.885 10.263 2.059 -2.885 10.263 2.059 2.885 -10.263" Properties=species:S:1:pos:R:3 comment="Dy5As4Cl (PBE-GGA, relaxed)" space_group="Immm, No. 71" pbc="T T T"
Dy 0.000 0.000 0.000
Dy 0.000 0.000 4.090
Dy 0.000 0.000 8.017
Dy 0.000 0.000 12.509
Dy 0.000 0.000 16.436
As 2.059 0.000 2.002
As 2.059 0.000 6.139
As 0.000 2.885 4.124
As 0.000 2.885 8.261
Cl 0.000 2.885 0.000



[10]
12
Lattice="8.266 -2.111 0.000 8.266 2.111 0.000 -7.694 0.000 10.481" Properties=species:S:1:pos:R:3 comment="Dy2AsCl3 (PBE-GGA, relaxed)" space_group="C2/m, No. 12" pbc="T T T"
Dy -1.709 0.000 4.787
Dy 4.644 0.000 1.815
Dy 4.193 0.000 8.666
Dy 10.546 0.000 5.695
As -3.456 0.000 7.004
As 12.293 0.000 3.477
Cl -5.042 0.000 10.439
Cl 1.195 0.000 4.278
Cl 1.750 0.000 7.580
Cl 7.088 0.000 2.901
Cl 7.643 0.000 6.203
Cl 13.880 0.000 0.042



[11]
16
Lattice="8.195 0.000 0.000 0.000 11.563 0.000 0.000 0.000 4.099" Properties=species:S:1:pos:R:3 comment="Dy4As3Cl (PBE-GGA, relaxed)" space_group="Cmmm, No. 65" pbc="T T T"
Dy 0.000 2.810 0.000
Dy 0.000 8.753 0.000
Dy 1.912 0.000 2.049
Dy 2.185 5.782 2.049
Dy 4.097 2.972 0.000
Dy 4.097 8.591 0.000
Dy 6.010 5.782 2.049
Dy 6.283 0.000 2.049
As 0.000 0.000 0.000
As 2.049 2.891 2.049
As 2.049 8.672 2.049
As 4.097 5.782 0.000
As 6.146 2.891 2.049
As 6.146 8.672 2.049
Cl 0.000 5.782 0.000
Cl 4.097 0.000 0.000



[12]
12
Lattice="8.838 -2.031 0.000 8.838 2.031 0.000 -1.811 0.000 7.936" Properties=species:S:1:pos:R:3 comment="Dy6As3P2Cl (PBE-GGA, relaxed)" space_group="C2/m, No. 12" pbc="T T T"
Dy -0.415 0.000 2.129
Dy 4.123 0.000 7.181
Dy 5.086 0.000 3.343
Dy 10.778 0.000 4.592
Dy 11.741 0.000 0.755
Dy 16.280 0.000 5.806
As 1.351 0.000 6.631
As 7.932 0.000 3.968
As 14.514 0.000 1.305
P 2.338 0.000 2.627
P 13.527 0.000 5.309
Cl 8.838 0.000 0.000



Calculated energy relative to the elements, uncorrected, 2.3, 6.2, 2.9, 6.4, -2.4, 5.0, -6.8, -6.1, -15.3, -11.2, -12.2, -18.9 eV per formula unit (same order as the records).
Calculated total DFT energy (no corrections), -3.31, -2.50, -3.17, -2.85, -3.86, -2.68, -3.07, -3.14, -5.87, -5.10, -5.80, -6.10 eV per atom (same order as the records).